Material: Pm2GaNiH
Method: DFT, PBE
State: optimized geometry

Geometry as extended XYZ:
```
10
Lattice="-2.711 0.286 -3.202 -1.171 -5.997 0.456 -5.258 3.498 4.764" Properties=species:S:1:pos:R:3 pbc="T T T"
Ga -3.024 -2.968 0.915
Ga -6.115 0.755 1.103
Pm -6.044 2.009 3.916
Pm -6.031 -2.353 0.755
Pm -3.095 -4.223 -1.898
Pm -3.108 0.139 1.263
H -6.052 -2.000 3.565
H -3.087 -0.214 -1.547
Ni -5.362 -0.606 3.105
Ni -3.777 -1.608 -1.087
```

Output
E, eV per atom: -4.818
Crystal system: monoclinic